Entry 1:
Computed, not measured: an optimized crystal structure of LiLaRu at the PBE level of DFT.

```
LiLaRu
1.0
4.5512 0.0000 0.0000
2.2756 3.9414 0.0000
2.2756 1.3138 3.7160
La Li Ru
1 1 1
direct
0.0000 0.0000 0.0000
0.5000 0.5000 0.5000
0.7500 0.7500 0.7500
```

Entry 2:
Computed, not measured: an optimized crystal structure of LiLa3Ru at the PBE level of DFT.

```
LiLa3Ru
1.0
4.4133 0.0000 0.0000
0.0000 4.4133 0.0000
0.0000 0.0000 9.4598
Ru Li La
1 1 3
direct
0.5000 0.5000 0.6253
0.0000 0.0000 0.1069
0.0000 0.0000 0.7108
0.5000 0.0000 0.4103
0.0000 0.5000 0.4103
```

Computed properties:
DOS(E_F) ... 1.320 states/eV/atom

ΔE_f
In order: 57.2 320.1
Unit: meV/atom
Distance to the lowest polymorph of the same formula
In order: 0.40 2.43
Unit: eV per formula unit